Entry 1:
A relaxed structure of DySi3NiRh. Source: Alexandria via LeMat-Bulk, functional PBE.

The structure in CIF format:
```
data_DySi3NiRh
_space_group_name_H-M_alt 'C m c m'
_space_group_IT_number 63
_space_group_name_Hall '-C 2c 2'
_cell_length_a 6.0818
_cell_length_b 12.9376
_cell_length_c 5.5176
_cell_angle_alpha 90.00
_cell_angle_beta 90.00
_cell_angle_gamma 90.00
loop_
_atom_site_label
_atom_site_fract_x
_atom_site_fract_y
_atom_site_fract_z
Dy1 0.0000 0.1973 0.2500
Si1 0.0000 0.2137 0.7500
Si2 0.2144 0.5000 0.0000
Ni1 0.0000 0.0460 0.7500
Rh1 0.0000 0.3872 0.7500
```

- ΔE_f (raw) (meV/atom) = -479
- density (g cm⁻³) = 6.248



Entry 2:
A relaxed structure of Sm3TmTl. Source: Alexandria via LeMat-Bulk, functional PBE.

The structure in CIF format:
```
data_Sm3TmTl
_space_group_name_H-M_alt 'C m c m'
_space_group_IT_number 63
_space_group_name_Hall '-C 2c 2'
_cell_length_a 5.7578
_cell_length_b 18.5459
_cell_length_c 5.7141
_cell_angle_alpha 90.00
_cell_angle_beta 90.00
_cell_angle_gamma 90.00
loop_
_atom_site_label
_atom_site_fract_x
_atom_site_fract_y
_atom_site_fract_z
Sm1 0.0000 0.0554 0.2500
Sm2 0.0000 0.2493 0.2500
Sm3 0.0000 0.4440 0.2500
Tm1 0.0000 0.3542 0.7500
Tl1 0.0000 0.1531 0.7500
```

- relative energy among the computed polymorphs (eV/f.u.) = 0.079
- E_form (eV per atom) = -0.068
- density (g cm⁻³) = 8.974



Entry 3:
A relaxed structure of NiSbPd2. Source: Alexandria via LeMat-Bulk, functional PBE.

The structure in CIF format:
```
data_NiSbPd2
_space_group_name_H-M_alt 'I -4 2 d'
_space_group_IT_number 122
_space_group_name_Hall 'I -4 2bw'
_cell_length_a 3.8350
_cell_length_b 3.8350
_cell_length_c 18.4374
_cell_angle_alpha 90.00
_cell_angle_beta 90.00
_cell_angle_gamma 90.00
loop_
_atom_site_label
_atom_site_fract_x
_atom_site_fract_y
_atom_site_fract_z
Ni1 0.0000 0.0000 0.0000
Sb1 0.0000 0.0000 0.5000
Pd1 0.2417 0.2500 0.1250
```

- ΔE_f (raw) (meV/atom) = -66
- density (g cm⁻³) = 9.634



Entry 4:
A relaxed structure of Sr3Ce2ThSb6. Source: Alexandria via LeMat-Bulk, functional PBE.

The structure in CIF format:
```
data_Sr3Ce2ThSb6
_space_group_name_H-M_alt 'C 1 2/m 1'
_space_group_IT_number 12
_space_group_name_Hall '-C 2y'
_cell_length_a 7.9967
_cell_length_b 13.8502
_cell_length_c 8.0431
_cell_angle_alpha 90.00
_cell_angle_beta 109.36
_cell_angle_gamma 90.00
loop_
_atom_site_label
_atom_site_fract_x
_atom_site_fract_y
_atom_site_fract_z
Sr1 0.0000 0.0000 0.0000
Sr2 0.0000 0.3341 0.0000
Ce1 0.0000 0.1668 0.5000
Th1 0.0000 0.5000 0.5000
Sb1 0.2387 0.0000 0.7252
Sb2 0.2433 0.3319 0.7254
```

- ΔE_f (raw) (meV/atom) = -1014
- density (g cm⁻³) = 5.950



Entry 5:
A relaxed structure of HfV2N2. Source: Alexandria via LeMat-Bulk, functional PBE.

The structure in CIF format:
```
data_HfV2N2
_space_group_name_H-M_alt 'P 4/m b m'
_space_group_IT_number 127
_space_group_name_Hall '-P 4 2ab'
_cell_length_a 5.9870
_cell_length_b 5.9870
_cell_length_c 3.0033
_cell_angle_alpha 90.00
_cell_angle_beta 90.00
_cell_angle_gamma 90.00
loop_
_atom_site_label
_atom_site_fract_x
_atom_site_fract_y
_atom_site_fract_z
Hf1 0.0000 0.0000 0.0000
V1 0.1347 0.3653 0.5000
N1 0.1473 0.6473 0.0000
```

- relative energy among the computed polymorphs (eV/f.u.) = 0.539
- ΔE_f (raw) (meV/atom) = -376
- density (g cm⁻³) = 9.514